(1)
# Nd10As8Au3O10 (PBE-GGA, relaxed)
# **E**: -6.8459 eV/atom
# **Size of the total moment**: 0.000 μB/atom
# **Volume**: 620.3 Å³/cell
# **ρ**: 7.476 g/cm³
data_Nd10As8Au3O10
_space_group_name_H-M_alt 'P 1'
_space_group_IT_number 1
_cell_length_a 9.7945
_cell_length_b 9.7945
_cell_length_c 9.7945
_cell_angle_alpha 123.93
_cell_angle_beta 123.93
_cell_angle_gamma 83.31
loop_
_space_group_symop_operation_xyz
'x,y,z'
loop_
_atom_site_label
_atom_site_type_symbol
_atom_site_fract_x
_atom_site_fract_y
_atom_site_fract_z
As1 As 0.2487 0.8705 0.1192
As2 As 0.7302 0.4089 0.1391
As3 As 0.4089 0.2698 0.6787
As4 As 0.1295 0.2487 0.3782
As5 As 0.8705 0.7513 0.6218
As6 As 0.2698 0.5911 0.8609
As7 As 0.5911 0.7302 0.3213
As8 As 0.7513 0.1295 0.8808
O1 O 0.5479 0.8460 0.9030
O2 O 0.2500 0.7500 0.5000
O3 O 0.4521 0.1540 0.0970
O4 O 0.0569 0.3550 0.9030
O5 O 0.1540 0.0569 0.7019
O6 O 0.3550 0.4521 0.2981
O7 O 0.6450 0.5479 0.7019
O8 O 0.7500 0.2500 0.5000
O9 O 0.8460 0.9431 0.2981
O10 O 0.9431 0.6450 0.0970
Au1 Au 0.0000 0.5000 0.5000
Au2 Au 0.0000 0.0000 0.0000
Au3 Au 0.5000 0.0000 0.5000
Nd1 Nd 0.0751 0.4694 0.1954
Nd2 Nd 0.2740 0.8797 0.8046
Nd3 Nd 0.3377 0.3377 0.0000
Nd4 Nd 0.9249 0.5306 0.8046
Nd5 Nd 0.8797 0.0751 0.6057
Nd6 Nd 0.4694 0.2740 0.3943
Nd7 Nd 0.1203 0.9249 0.3943
Nd8 Nd 0.5306 0.7260 0.6057
Nd9 Nd 0.7260 0.1203 0.1954
Nd10 Nd 0.6623 0.6623 0.0000

---

(2)
# NdAsAuO (PBE-GGA, relaxed)
# **E**: -5.6399 eV/atom
# **Size of the total moment**: 0.001 μB/atom
# **Volume**: 155.6 Å³/cell
# **ρ**: 9.224 g/cm³
data_NdAsAuO
_space_group_name_H-M_alt 'P 1'
_space_group_IT_number 1
_cell_length_a 4.9037
_cell_length_b 6.5396
_cell_length_c 4.8517
_cell_angle_alpha 90.00
_cell_angle_beta 90.00
_cell_angle_gamma 90.00
loop_
_space_group_symop_operation_xyz
'x,y,z'
loop_
_atom_site_label
_atom_site_type_symbol
_atom_site_fract_x
_atom_site_fract_y
_atom_site_fract_z
Nd1 Nd 0.5000 0.7125 0.5020
Nd2 Nd 0.5000 0.2875 0.0020
Au1 Au 0.0000 0.3824 0.4981
Au2 Au 0.0000 0.6176 0.9981
As1 As 0.0000 0.9948 0.2546
As2 As 0.0000 0.0052 0.7546
O1 O 0.5000 0.3672 0.4994
O2 O 0.5000 0.6328 0.9993

---

(3)
# NdAsAuO (PBE-GGA, relaxed)
# **E**: -5.6111 eV/atom
# **Size of the total moment**: 0.000 μB/atom
# **Volume**: 189.3 Å³/cell
# **ρ**: 7.581 g/cm³
data_NdAsAuO
_space_group_name_H-M_alt 'P 1'
_space_group_IT_number 1
_cell_length_a 3.9345
_cell_length_b 7.7374
_cell_length_c 6.2181
_cell_angle_alpha 90.00
_cell_angle_beta 90.00
_cell_angle_gamma 90.00
loop_
_space_group_symop_operation_xyz
'x,y,z'
loop_
_atom_site_label
_atom_site_type_symbol
_atom_site_fract_x
_atom_site_fract_y
_atom_site_fract_z
As1 As 0.0000 0.8451 0.4310
As2 As 0.0000 0.1549 0.9310
Nd1 Nd 0.0000 0.7658 0.9297
Nd2 Nd 0.0000 0.2342 0.4297
O1 O 0.5000 0.6390 0.9464
O2 O 0.5000 0.3610 0.4464
Au1 Au 0.5000 0.6513 0.4469
Au2 Au 0.5000 0.3487 0.9469

---

(4)
# NiAs2Au2 (PBE-GGA, relaxed)
# **E**: -3.8636 eV/atom
# **Size of the total moment**: 0.090 μB/atom
# **Volume**: 93.1 Å³/cell
# **ρ**: 10.741 g/cm³
data_NiAs2Au2
_space_group_name_H-M_alt 'P 1'
_space_group_IT_number 1
_cell_length_a 3.6276
_cell_length_b 3.6276
_cell_length_c 7.0778
_cell_angle_alpha 90.00
_cell_angle_beta 90.00
_cell_angle_gamma 90.00
loop_
_space_group_symop_operation_xyz
'x,y,z'
loop_
_atom_site_label
_atom_site_type_symbol
_atom_site_fract_x
_atom_site_fract_y
_atom_site_fract_z
Au1 Au 0.5000 0.5000 0.1866
Au2 Au 0.5000 0.5000 0.8134
As1 As 0.5000 0.0000 0.5000
As2 As 0.0000 0.5000 0.5000
Ni1 Ni 0.0000 0.0000 0.0000

---

Copy entry 3 word for word.
# NdAsAuO (PBE-GGA, relaxed)
# **E**: -5.6111 eV/atom
# **Size of the total moment**: 0.000 μB/atom
# **Volume**: 189.3 Å³/cell
# **ρ**: 7.581 g/cm³
data_NdAsAuO
_space_group_name_H-M_alt 'P 1'
_space_group_IT_number 1
_cell_length_a 3.9345
_cell_length_b 7.7374
_cell_length_c 6.2181
_cell_angle_alpha 90.00
_cell_angle_beta 90.00
_cell_angle_gamma 90.00
loop_
_space_group_symop_operation_xyz
'x,y,z'
loop_
_atom_site_label
_atom_site_type_symbol
_atom_site_fract_x
_atom_site_fract_y
_atom_site_fract_z
As1 As 0.0000 0.8451 0.4310
As2 As 0.0000 0.1549 0.9310
Nd1 Nd 0.0000 0.7658 0.9297
Nd2 Nd 0.0000 0.2342 0.4297
O1 O 0.5000 0.6390 0.9464
O2 O 0.5000 0.3610 0.4464
Au1 Au 0.5000 0.6513 0.4469
Au2 Au 0.5000 0.3487 0.9469

---

Q: Which of these has the highest size of the total moment?
A: NiAs2Au2